Ba2TbOs2N6: optimized geometry, PBE.

SG   R-3m
Mass density   7.36 g cm⁻³
Density of states at the Fermi level   5.301 states/eV/cell
VASP energy   -7.802 eV per atom
V   18.4 Å³ per atom

abc: 6.114 6.114 7.184
angles: 64.82 64.82 60.00
Fractional positions:
N  0.748  0.250  0.255
N  0.252  0.252  0.745
Os  0.402  0.402  0.794
Os  0.598  0.598  0.206
N  0.750  0.252  0.745
N  0.748  0.748  0.255
N  0.250  0.748  0.255
N  0.252  0.750  0.745
Ba  0.787  0.787  0.639
Tb  0.000  0.000  0.000
Ba  0.213  0.213  0.361